Entry 1:
First-principles (PBE) data for an optimized crystal structure of LiPrTm2Hg4, as listed in Alexandria via LeMat-Bulk.

## Properties
symmetry = R-3m, No. 166
D(E_F) = 6.4 states/eV/cell
E = -2.537 eV/atom

Cell: 5.092 5.092 9.308 Å, 74.12 74.12 60.00°
Fractional coordinates of all 8 atoms:
Tm  0.758  0.758  0.727
Tm  0.242  0.242  0.273
Pr  0.000  0.000  0.000
Hg  0.614  0.614  0.158
Hg  0.386  0.386  0.842
Hg  0.872  0.872  0.384
Hg  0.128  0.128  0.616
Li  0.500  0.500  0.500

---

Entry 2:
First-principles (PBE) data for an optimized crystal structure of MoRh2Br, as listed in Alexandria via LeMat-Bulk.

## Properties
raw formation energy = 2.74 eV/f.u.
symmetry = I-42d, No. 122
D(E_F) = 9.5 states/eV/cell
E = -6.118 eV/atom
relative energy among the computed polymorphs = 514 meV per atom

Cell: 6.247 6.247 6.319 Å, 60.37 60.37 90.00°
Fractional coordinates of all 8 atoms:
Rh  0.875  0.900  0.750
Rh  0.100  0.625  0.250
Rh  0.375  0.350  0.750
Rh  0.650  0.125  0.250
Mo  0.000  0.000  0.000
Mo  0.750  0.250  0.500
Br  0.250  0.750  0.500
Br  0.500  0.500  0.000

---

Entry 3:
First-principles (PBE) data for an optimized crystal structure of YCoBr2, as listed in Alexandria via LeMat-Bulk.

## Properties
raw formation energy = -0.71 eV/f.u.
symmetry = Cmmm, No. 65
D(E_F) = 3.0 states/eV/cell
E = -4.406 eV/atom
relative energy among the computed polymorphs = 568 meV per atom

Cell: 3.705 3.705 8.357 Å, 90.00 90.00 122.42°
Last column: magnetic moment on the atom in μB.
Fractional coordinates of all 4 atoms:
Y  0.500  0.500  0.750  0.01
Br  0.000  0.000  0.039  0.03
Br  0.000  0.000  0.461  0.03
Co  0.500  0.500  0.250  1.73

---

Entry 4:
First-principles (PBE) data for an optimized crystal structure of Ba2TmSb3O12, as listed in Alexandria via LeMat-Bulk.

## Properties
raw formation energy = -34.17 eV/f.u.
symmetry = R-3m, No. 166
D(E_F) = 5.3 states/eV/cell
E = -6.353 eV/atom

Cell: 7.208 7.208 7.208 Å, 62.57 62.57 62.57°
Last column: magnetic moment on the atom in μB.
Fractional coordinates of all 18 atoms:
O  0.303  0.303  0.896  0.07
O  0.890  0.376  0.890  0.23
O  0.890  0.890  0.376  0.23
O  0.303  0.896  0.303  0.07
O  0.624  0.110  0.110  0.23
O  0.104  0.697  0.697  0.07
O  0.376  0.890  0.890  0.23
O  0.896  0.303  0.303  0.07
O  0.697  0.697  0.104  0.07
O  0.697  0.104  0.697  0.07
O  0.110  0.624  0.110  0.23
O  0.110  0.110  0.624  0.23
Sb  0.000  0.000  0.500  -0.01
Sb  0.000  0.500  0.000  -0.01
Sb  0.500  0.000  0.000  -0.01
Ba  0.381  0.381  0.381  -0.01
Ba  0.619  0.619  0.619  -0.01
Tm  0.000  0.000  0.000  -0.04

---

Summary of V in Å³/cell
198.3; 176.3; 96.8; 280.0
(order as listed above)